The following is a DFT calculation (PBE-GGA) of CaScRh after structural relaxation.

a b c (Å): 11.2474 4.0183 7.7287
angles (deg): 90.00 125.18 90.00
Last column: nearest neighbours and their distance in Å.
Space group C2/m (No. 12)
Inequivalent atoms, fractional coordinates:
Ca1 0.0796 0.0000 0.3515 [4 per cell]  5 Rh 3.04-3.39
Sc1 0.1874 0.5000 0.0824 [4 per cell]  3 Rh 2.62-2.69
Rh1 0.1409 0.5000 0.6994 [4 per cell]  3 Sc 2.62-2.69, 1 Rh 2.88

Computed properties:
ΔH_f (0 K) in eV per atom: -0.542
Total DFT energy (no corrections) in eV per atom: -5.77
Fermi-level density of states in states/eV/f.u.: 2.22
Energy above the most stable polymorph in this dataset in meV per atom: 65